Entry from Alexandria via LeMat-Bulk: a relaxed structure of Ba2LiGe2Se6 (PBE).

The volume comes out at 29.5 A^3/atom. As for the uncorrected formation energy: -22.60 kcal/mol of atoms.

abc: 7.2582 7.0826 7.7357
angles: 105.62 90.00 120.82
Element x y z (fractional)
Se: 0.7805 0.5610 0.6449
Se: 0.2064 0.8629 0.2116
Se: 0.6566 0.8629 0.2116
Se: 0.3434 0.1371 0.7884
Se: 0.2195 0.4390 0.3551
Se: 0.7936 0.1371 0.7884
Li: 0.5000 0.0000 0.5000
Ge: 0.9759 0.9518 0.6521
Ge: 0.0241 0.0482 0.3479
Ba: 0.3093 0.6186 0.8042
Ba: 0.6907 0.3814 0.1958